#P
AlTlCo | the Alexandria database | SCAN | PBEsol geometry; SG = P3m1 (156); DOS(E_F) = 0.65 states/eV/atom
1.0
-2.123 1.779 -1.231
-0.481 -1.286 2.702
2.551 5.010 2.839
Tl Co Al
1 1 1
Cartesian
-0.662 2.552 1.097
0.735 3.199 3.353
2.425 4.761 2.698



#Q
AlTlCo | the Alexandria database | SCAN | PBEsol geometry; SG = F-43m (216); DOS(E_F) = 0.81 states/eV/atom
1.0
4.193 0.000 0.000
2.097 3.631 0.000
2.097 1.210 3.424
Tl Co Al
1 1 1
Cartesian
0.000 0.000 0.000
2.097 1.210 0.856
4.193 2.421 1.712



Least stable = #P



#P
MgAlCr | the Alexandria database | SCAN | PBEsol geometry; SG = Fmm2 (42); DOS(E_F) = 0.52 states/eV/atom
1.0
-2.140 0.160 1.576
-0.771 -1.843 -1.760
3.904 -3.810 3.890
Cr Mg Al
1 1 1
Cartesian
1.667 -3.166 2.585
-0.600 -2.465 1.234
0.921 -5.355 3.593



#Q
MgAlCr | the Alexandria database | SCAN | PBEsol geometry; SG = F-43m (216); DOS(E_F) = 0.66 states/eV/atom
1.0
-2.951 -3.216 -0.460
1.178 -3.815 -1.823
0.291 -3.616 2.471
Cr Mg Al
1 1 1
Cartesian
0.000 0.000 0.000
-0.741 -5.324 0.094
-0.370 -2.662 0.047



Least stable = #Q



#P
Al2CrMo | the Alexandria database | SCAN | PBEsol geometry; SG = I-42d (122); DOS(E_F) = 0.49 states/eV/atom
1.0
5.228 0.000 0.000
2.614 4.793 0.000
2.614 0.000 4.793
Cr Mo Al
2 2 4
Cartesian
2.614 0.000 0.000
3.921 2.397 2.397
0.000 0.000 0.000
6.536 2.397 2.397
4.575 0.072 2.468
4.575 4.722 2.325
3.268 2.325 0.072
8.496 2.468 4.722



#Q
Al2CrMo | the Alexandria database | SCAN | PBEsol geometry; SG = Cmmm (65); DOS(E_F) = 0.64 states/eV/atom
1.0
2.695 0.000 0.000
0.000 4.778 0.045
0.000 -1.912 4.378
Cr Mo Al
1 1 2
Cartesian
1.347 0.000 0.000
1.347 1.433 2.211
0.000 2.389 0.022
0.000 -0.956 2.189



#R
Al2CrMo | the Alexandria database | SCAN | PBEsol geometry; SG = Cmmm (65); DOS(E_F) = 0.52 states/eV/atom
1.0
-1.151 2.222 0.823
0.012 -1.556 2.126
7.350 3.009 2.161
Cr Mo Al
1 1 2
Cartesian
3.105 1.837 2.555
-0.570 0.333 1.474
1.934 0.792 0.569
5.416 2.217 1.592



#S
Al2CrMo | the Alexandria database | SCAN | PBEsol geometry; SG = P4mm (99); DOS(E_F) = 0.47 states/eV/atom
1.0
-1.668 1.715 -1.950
1.435 -1.324 -2.391
-4.103 -4.167 -0.155
Cr Mo Al
1 1 2
Cartesian
-2.093 -2.125 -0.079
-3.113 -2.846 -2.284
-4.078 -4.141 -0.154
-1.208 -0.913 -2.212



Least stable = #P



#P
Al2CrMo | the Alexandria database | SCAN | PBEsol geometry; SG = Pmmm (47); DOS(E_F) = 0.74 states/eV/atom
1.0
2.642 0.000 0.000
0.000 4.025 0.000
0.000 0.000 5.246
Cr Mo Al
1 1 2
Cartesian
1.321 2.012 0.000
1.321 2.012 2.623
0.000 0.000 3.966
0.000 0.000 1.280



#Q
Al2CrMo | the Alexandria database | SCAN | PBEsol geometry; SG = R-3m (166); DOS(E_F) = 0.74 states/eV/atom
1.0
-1.814 -1.067 1.751
0.514 -2.402 1.209
3.490 3.005 7.587
Cr Mo Al
1 1 2
Cartesian
1.095 -0.232 5.274
0.000 0.000 0.000
0.590 -0.071 2.708
1.600 -0.393 7.839



Least stable = #Q



#P
Al2CrO5 | the Alexandria database | SCAN | PBEsol geometry; SG = Cmcm (63); DOS(E_F) = 0.00 states/eV/atom
1.0
3.568 0.000 0.000
-1.784 4.669 0.000
0.000 0.000 9.464
Al Cr O
4 2 10
Cartesian
0.000 1.318 4.169
0.000 1.318 0.564
1.784 3.351 8.901
1.784 3.351 5.296
0.000 1.710 7.098
1.784 2.958 2.366
0.000 2.275 2.366
1.784 2.393 7.098
0.000 0.438 8.361
0.000 0.438 5.836
1.784 4.230 3.629
1.784 4.230 1.103
0.000 2.913 5.416
0.000 2.913 8.781
1.784 1.756 0.684
1.784 1.756 4.048



#Q
Al2CrO5 | the Alexandria database | SCAN | PBEsol geometry; SG = C2/c (15)
1.0
4.860 0.000 0.000
-2.430 4.745 0.017
0.000 -2.484 6.275
Al Cr O
4 2 10
Cartesian
2.380 0.692 1.366
-0.050 2.811 1.788
2.480 -0.550 4.503
0.050 1.569 4.925
0.000 0.000 0.000
0.000 -1.242 3.137
0.733 1.407 0.965
1.670 -0.314 2.808
3.189 -1.555 5.946
3.163 2.096 2.189
-0.733 0.165 4.102
3.895 -0.621 1.569
-0.759 3.816 0.346
0.759 2.575 3.483
1.697 0.855 5.327
0.965 -1.863 4.706



Least stable = #P



#P
AlCrOs | the Alexandria database | SCAN | PBEsol geometry; SG = P3m1 (156); DOS(E_F) = 0.64 states/eV/atom
1.0
2.710 0.000 0.000
-1.355 2.347 0.000
0.000 0.000 6.285
Cr Os Al
1 1 1
Cartesian
0.000 1.565 4.140
1.355 0.782 2.183
0.000 0.000 6.247



#Q
AlCrOs | the Alexandria database | SCAN | PBEsol geometry; SG = I4mm (107); DOS(E_F) = 0.64 states/eV/atom
1.0
-2.247 0.772 1.648
-0.601 -2.787 0.487
4.153 1.065 2.626
Cr Os Al
1 1 1
Cartesian
-0.496 -0.988 2.324
1.783 0.038 2.414
0.018 0.000 0.024



#R
AlCrOs | the Alexandria database | SCAN | PBEsol geometry; SG = Fmm2 (42); DOS(E_F) = 0.74 states/eV/atom
1.0
2.654 -0.005 0.000
-1.124 2.405 0.000
-0.765 -1.200 6.260
Cr Os Al
1 1 1
Cartesian
0.000 0.000 4.158
0.765 1.200 2.136
0.765 1.200 6.226



Least stable = #R



#P
Al2CrOs | the Alexandria database | SCAN | PBEsol geometry; SG = Fm-3m (225); DOS(E_F) = 0.28 states/eV/atom
1.0
4.246 0.000 0.000
2.123 3.677 0.000
2.123 1.226 3.466
Cr Os Al
1 1 2
Cartesian
0.000 0.000 0.000
4.246 2.451 1.733
6.368 3.677 2.600
2.123 1.226 0.867



#Q
Al2CrOs | the Alexandria database | SCAN | PBEsol geometry; SG = P4/mmm (123); DOS(E_F) = 0.36 states/eV/atom
1.0
3.104 0.000 0.000
0.000 4.169 0.000
0.000 0.000 4.169
Cr Os Al
1 1 2
Cartesian
1.552 2.085 2.085
1.552 0.000 0.000
0.000 0.000 2.085
0.000 2.085 0.000



#R
Al2CrOs | the Alexandria database | SCAN | PBEsol geometry; SG = Cm (8); DOS(E_F) = 0.43 states/eV/atom
1.0
3.021 0.000 0.000
0.000 4.134 -0.233
-1.510 -1.818 4.389
Cr Os Al
1 1 2
Cartesian
1.510 2.069 -0.052
0.000 2.188 1.938
1.510 2.309 4.071
1.510 0.132 2.238



Least stable = #R



#P
AlCr2P | the Alexandria database | SCAN | PBEsol geometry; SG = C2/m (12); DOS(E_F) = 0.86 states/eV/atom
1.0
-2.137 -0.890 -1.222
1.473 -3.804 2.028
-1.864 2.886 2.991
Cr Al P
2 1 1
Cartesian
0.737 -1.902 1.014
-0.932 1.443 1.496
-1.264 -0.904 1.899
-1.068 -0.445 -0.611



#Q
AlCr2P | the Alexandria database | SCAN | PBEsol geometry; SG = F-43m (216); DOS(E_F) = 0.67 states/eV/atom
1.0
4.068 0.000 0.000
2.034 3.523 0.000
2.034 1.174 3.321
Cr Al P
2 1 1
Cartesian
0.000 0.000 0.000
6.102 3.523 2.491
4.068 2.349 1.661
2.034 1.174 0.830



Least stable = #P



#P
TaAl2Cr | the Alexandria database | SCAN | PBEsol geometry; SG = Cm (8); DOS(E_F) = 0.70 states/eV/atom
1.0
-1.591 0.382 2.177
-2.745 -1.893 -3.377
1.610 -4.126 1.902
Cr Al Ta
1 2 1
Cartesian
-2.684 -3.716 -1.309
-0.012 -0.041 -0.002
-2.180 -1.706 0.410
-0.584 -3.939 0.265



#Q
TaAl2Cr | the Alexandria database | SCAN | PBEsol geometry; SG = P2/m (10); DOS(E_F) = 0.52 states/eV/atom
1.0
-0.694 -2.175 -1.461
2.975 -2.226 1.902
-3.033 -0.330 4.358
Cr Al Ta
1 2 1
Cartesian
1.141 -2.200 0.221
-2.374 -0.417 3.225
-1.352 -2.088 -0.328
-0.376 -2.365 2.400



Least stable = #P



#P
AlCr2Te | the Alexandria database | SCAN | PBEsol geometry; SG = I-42d (122); DOS(E_F) = 0.49 states/eV/atom
1.0
-1.547 -2.255 2.766
3.538 -1.369 0.862
0.074 8.265 4.044
Cr Te Al
4 2 2
Cartesian
0.120 -0.234 3.525
2.405 -0.165 3.033
1.006 4.047 5.229
0.598 5.632 3.558
2.303 2.542 3.360
0.000 0.000 0.000
-0.239 2.099 4.312
0.995 -1.812 1.814



#Q
AlCr2Te | the Alexandria database | SCAN | PBEsol geometry; SG = P4/mmm (123); DOS(E_F) = 0.85 states/eV/atom
1.0
-2.677 0.848 1.652
1.150 -1.518 2.644
2.529 4.780 1.644
Cr Te Al
2 1 1
Cartesian
0.508 0.959 0.330
2.022 3.821 1.314
0.501 2.055 2.970
-0.763 -0.335 2.148



#R
AlCr2Te | the Alexandria database | SCAN | PBEsol geometry; SG = I-4m2 (119); DOS(E_F) = 0.56 states/eV/atom
1.0
-0.690 3.694 -0.516
-3.475 -0.446 1.454
3.661 -0.765 3.567
Cr Te Al
2 1 1
Cartesian
0.000 0.000 0.000
0.444 2.276 1.760
-2.083 1.624 0.469
-0.948 0.206 2.745



Least stable = #P



#P
Al2CrW | the Alexandria database | SCAN | PBEsol geometry; SG = F-43m (216); DOS(E_F) = 0.21 states/eV/atom
1.0
4.255 0.000 0.000
2.127 3.685 0.000
2.127 1.228 3.474
Cr Al W
1 2 1
Cartesian
4.255 2.456 1.737
0.000 0.000 0.000
6.382 3.685 2.605
2.127 1.228 0.868



#Q
Al2CrW | the Alexandria database | SCAN | PBEsol geometry; SG = Pmmm (47); DOS(E_F) = 0.67 states/eV/atom
1.0
-0.904 -2.025 1.570
2.359 1.225 2.937
-3.868 3.124 1.803
Cr Al W
1 2 1
Cartesian
0.727 -0.400 2.254
-2.923 2.361 1.362
-0.945 0.763 0.441
-1.206 1.162 3.155



Least stable = #Q



#P
Al2CrW | the Alexandria database | SCAN | PBEsol geometry; SG = P4mm (99); DOS(E_F) = 0.43 states/eV/atom
1.0
-0.807 -2.954 -0.499
-0.101 -0.490 3.062
-5.615 1.525 0.058
Cr Al W
1 2 1
Cartesian
-2.853 0.775 0.029
-5.596 1.520 0.058
-1.941 -1.318 1.297
-4.555 -0.608 1.324



#Q
Al2CrW | the Alexandria database | SCAN | PBEsol geometry; SG = Fm-3m (225); DOS(E_F) = 0.98 states/eV/atom
1.0
-1.929 2.030 -3.298
-4.313 -0.037 -0.338
-2.256 3.622 0.712
Cr Al W
1 2 1
Cartesian
0.000 0.000 0.000
-2.125 1.404 -0.731
-6.374 4.212 -2.193
-4.249 2.808 -1.462



Least stable = #Q